Model w:
Crystalline IrOs2 at its relaxed geometry. Source: Alexandria via LeMat-Bulk, functional PBE.

Lattice parameters (Å, degrees): 4.7715 4.3602 8.2789 90.00 90.00 90.00
Closest atoms and distances in Å follow each position.
Atoms (fractional coordinates):
1 Os 0.6673 0.2500 0.0025  5 Ir 2.69-2.78, 7 Os 2.70-2.75
2 Os 0.1673 0.2500 0.4975  5 Ir 2.69-2.78, 7 Os 2.70-2.75
3 Os 0.8327 0.7500 0.5025  5 Ir 2.69-2.78, 7 Os 2.70-2.75
4 Os 0.3327 0.7500 0.9975  5 Ir 2.69-2.78, 7 Os 2.70-2.75
5 Os 0.3309 0.7500 0.6666  5 Ir 2.70-2.76, 7 Os 2.71-2.76
6 Os 0.6691 0.2500 0.3334  5 Ir 2.70-2.76, 7 Os 2.71-2.76
7 Os 0.8309 0.7500 0.8334  5 Ir 2.70-2.76, 7 Os 2.71-2.76
8 Os 0.1691 0.2500 0.1666  5 Ir 2.70-2.76, 7 Os 2.71-2.76
9 Ir 0.3352 0.7500 0.3338  10 Os 2.69-2.78, 2 Ir 2.76
10 Ir 0.1648 0.2500 0.8338  10 Os 2.69-2.78, 2 Ir 2.76
11 Ir 0.6648 0.2500 0.6662  10 Os 2.69-2.78, 2 Ir 2.76
12 Ir 0.8352 0.7500 0.1662  10 Os 2.69-2.78, 2 Ir 2.76

* magnetic moment: 0.0 μB/f.u.

=====

Model x:
Crystalline IrOs2 at its relaxed geometry. Source: Alexandria via LeMat-Bulk, functional PBE.

Lattice parameters (Å, degrees): 3.8662 3.8662 11.8619 99.38 99.38 90.00
Closest atoms and distances in Å follow each position.
Atoms (fractional coordinates):
1 Os 0.6669 0.1669 0.3338  6 Os 2.71-2.74, 6 Ir 2.73-2.75
2 Os 0.4990 0.9990 0.9979  4 Ir 2.69-2.73, 8 Os 2.71-2.74
3 Os 0.4169 0.4169 0.8338  6 Os 2.71-2.74, 6 Ir 2.73-2.75
4 Os 0.0010 0.5010 0.0021  4 Ir 2.69-2.73, 8 Os 2.71-2.74
5 Os 0.2490 0.2490 0.4979  4 Ir 2.69-2.73, 8 Os 2.71-2.74
6 Os 0.7510 0.7510 0.5021  4 Ir 2.69-2.73, 8 Os 2.71-2.74
7 Os 0.5831 0.5831 0.1662  6 Os 2.71-2.74, 6 Ir 2.73-2.75
8 Os 0.8331 0.3331 0.6662  6 Os 2.71-2.74, 6 Ir 2.73-2.75
9 Ir 0.1676 0.6676 0.3353  10 Os 2.69-2.75, 2 Ir 2.76
10 Ir 0.9176 0.9176 0.8353  10 Os 2.69-2.75, 2 Ir 2.76
11 Ir 0.3324 0.8324 0.6647  10 Os 2.69-2.75, 2 Ir 2.76
12 Ir 0.0824 0.0824 0.1647  10 Os 2.69-2.75, 2 Ir 2.76

* magnetic moment: 0.0 μB/f.u.

=====

Model y:
Crystalline IrOs2 at its relaxed geometry. Source: Alexandria via LeMat-Bulk, functional PBE.

Lattice parameters (Å, degrees): 2.7272 2.7272 6.7090 90.00 90.00 120.00
Closest atoms and distances in Å follow each position.
Atoms (fractional coordinates):
1 Os 0.3333 0.6667 0.6609  9 Os 2.67-2.73, 3 Ir 2.77
2 Os 0.6667 0.3333 0.3391  9 Os 2.67-2.73, 3 Ir 2.77
3 Ir 0.0000 0.0000 0.0000  6 Ir 2.73, 6 Os 2.77

* magnetic moment: 0.0 μB/f.u.

=====

Winner for stability: model w

=====

Model w:
Crystalline IrOs2 at its relaxed geometry. Source: Alexandria via LeMat-Bulk, functional PBE.

Lattice parameters (Å, degrees): 3.4493 3.4493 4.9814 90.00 90.00 120.00
Closest atoms and distances in Å follow each position.
Atoms (fractional coordinates):
1 Os 0.6667 0.3333 0.6352  3 Os 2.40
2 Os 0.3333 0.6667 0.3648  3 Os 2.40
3 Ir 0.0000 0.0000 0.0000  6 Os 2.70

* magnetic moment: 0.0 μB/f.u.

=====

Model x:
Crystalline IrOs2 at its relaxed geometry. Source: Alexandria via LeMat-Bulk, functional PBE.

Lattice parameters (Å, degrees): 2.7549 5.1622 6.4728 76.83 90.00 74.52
Closest atoms and distances in Å follow each position.
Atoms (fractional coordinates):
1 Os 0.9422 0.1156 0.3865  5 Ir 2.69-2.79, 7 Os 2.70-2.75
2 Os 0.9972 0.0055 0.9971  8 Os 2.67-2.75, 4 Ir 2.70-2.77
3 Os 0.2806 0.4389 0.0584  8 Os 2.67-2.75, 4 Ir 2.70-2.77
4 Os 0.3356 0.3288 0.6690  5 Ir 2.69-2.79, 7 Os 2.70-2.75
5 Ir 0.6120 0.7760 0.7239  9 Os 2.69-2.79, 3 Ir 2.72-2.75
6 Ir 0.6658 0.6685 0.3317  9 Os 2.69-2.79, 3 Ir 2.72-2.75

* magnetic moment: 0.0 μB/f.u.

=====

Model y:
Crystalline IrOs2 at its relaxed geometry. Source: Alexandria via LeMat-Bulk, functional PBE.

Lattice parameters (Å, degrees): 7.4322 7.4322 2.7262 90.00 90.00 120.00
Closest atoms and distances in Å follow each position.
Atoms (fractional coordinates):
1 Ir 0.0000 0.0000 0.5000  9 Os 2.63-2.68, 2 Ir 2.73
2 Ir 0.3333 0.6667 0.0000  9 Os 2.60-2.75, 2 Ir 2.73
3 Ir 0.6667 0.3333 0.0000  9 Os 2.60-2.75, 2 Ir 2.73
4 Os 0.3600 0.3600 0.5000  5 Ir 2.68-2.75, 8 Os 2.73-2.85
5 Os 0.0000 0.6400 0.5000  5 Ir 2.68-2.75, 8 Os 2.73-2.85
6 Os 0.6972 0.6972 0.0000  4 Ir 2.60-2.63, 8 Os 2.73-2.85
7 Os 0.3028 0.0000 0.0000  4 Ir 2.60-2.63, 8 Os 2.73-2.85
8 Os 0.0000 0.3028 0.0000  4 Ir 2.60-2.63, 8 Os 2.73-2.85
9 Os 0.6400 0.0000 0.5000  5 Ir 2.68-2.75, 8 Os 2.73-2.85

* magnetic moment: 0.0 μB/f.u.

=====

Winner for stability: model x

=====

Model w:
Crystalline IrOs2 at its relaxed geometry. Source: Alexandria via LeMat-Bulk, functional PBE.

Lattice parameters (Å, degrees): 4.1779 4.1779 4.1779 60.00 60.00 60.00
Closest atoms and distances in Å follow each position.
Atoms (fractional coordinates):
1 Os 0.7500 0.7500 0.7500  4 Ir 2.56
2 Os 0.2500 0.2500 0.2500  4 Ir 2.56
3 Ir 0.0000 0.0000 0.0000  8 Os 2.56

* magnetic moment: 0.0 μB/f.u.

=====

Model x:
Crystalline IrOs2 at its relaxed geometry. Source: Alexandria via LeMat-Bulk, functional PBE.

Lattice parameters (Å, degrees): 2.7543 5.1652 6.4705 76.70 90.00 74.54
Closest atoms and distances in Å follow each position.
Atoms (fractional coordinates):
1 Os 0.9461 0.1077 0.3886  3 Ir 2.68-2.70, 9 Os 2.69-2.76
2 Os 0.6113 0.7774 0.7222  5 Ir 2.70-2.71, 7 Os 2.70-2.76
3 Os 0.6666 0.6667 0.3337  8 Os 2.69-2.75, 4 Ir 2.73-2.74
4 Os 0.2766 0.4468 0.0573  4 Ir 2.68-2.74, 8 Os 2.69-2.76
5 Ir 0.3320 0.3361 0.6625  8 Os 2.70-2.74, 4 Ir 2.75-2.79
6 Ir 0.0007 0.9986 0.0023  8 Os 2.68-2.74, 4 Ir 2.75-2.79

* magnetic moment: 0.0 μB/f.u.

=====

Winner for stability: model x

=====

Model w:
Crystalline IrOs2 at its relaxed geometry. Source: Alexandria via LeMat-Bulk, functional PBE.

Lattice parameters (Å, degrees): 4.4283 3.9406 6.1947 90.00 90.00 90.00
Closest atoms and distances in Å follow each position.
Atoms (fractional coordinates):
1 Os 0.0000 0.2195 0.3800  1 Os 2.28, 1 Ir 2.51
2 Os 0.5000 0.7195 0.1200  1 Os 2.28, 1 Ir 2.51
3 Os 0.5000 0.2805 0.8800  1 Os 2.28, 1 Ir 2.51
4 Os 0.0000 0.7805 0.6200  1 Os 2.28, 1 Ir 2.51
5 Ir 0.0000 0.0000 0.0000  6 Os 2.51-2.58
6 Ir 0.5000 0.5000 0.5000  6 Os 2.51-2.58

* magnetic moment: 0.0 μB/f.u.

=====

Model x:
Crystalline IrOs2 at its relaxed geometry. Source: Alexandria via LeMat-Bulk, functional PBE.

Lattice parameters (Å, degrees): 5.0682 5.0682 8.4030 90.00 90.00 60.00
Closest atoms and distances in Å follow each position.
Atoms (fractional coordinates):
1 Ir 0.3333 0.3333 0.5929  1 Ir 2.64, 6 Os 2.86
2 Ir 0.6667 0.6667 0.0929  1 Ir 2.64, 6 Os 2.86
3 Ir 0.3333 0.3333 0.9071  1 Ir 2.64, 6 Os 2.86
4 Ir 0.6667 0.6667 0.4071  1 Ir 2.64, 6 Os 2.86
5 Os 0.0000 0.0000 0.0000  6 Os 2.58
6 Os 0.8285 0.3430 0.7500  6 Os 2.46-2.61
7 Os 0.8285 0.8285 0.7500  6 Os 2.46-2.61
8 Os 0.1715 0.1715 0.2500  6 Os 2.46-2.61
9 Os 0.1715 0.6570 0.2500  6 Os 2.46-2.61
10 Os 0.3430 0.8285 0.7500  6 Os 2.46-2.61
11 Os 0.0000 0.0000 0.5000  6 Os 2.58
12 Os 0.6570 0.1715 0.2500  6 Os 2.46-2.61

* magnetic moment: 0.0 μB/f.u.

=====

Model y:
Crystalline IrOs2 at its relaxed geometry. Source: Alexandria via LeMat-Bulk, functional PBE.

Lattice parameters (Å, degrees): 12.2269 12.2269 12.2269 167.19 167.19 18.16
Closest atoms and distances in Å follow each position.
Atoms (fractional coordinates):
1 Os 0.3299 0.8299 0.5000  6 Os 2.57-2.73, 4 Ir 2.73
2 Os 0.4201 0.4201 0.0000  6 Os 2.57-2.73, 4 Ir 2.73
3 Os 0.5799 0.5799 0.0000  6 Os 2.57-2.73, 4 Ir 2.73
4 Os 0.1701 0.6701 0.5000  6 Os 2.57-2.73, 4 Ir 2.73
5 Ir 0.7500 0.2500 0.5000  4 Ir 2.73, 8 Os 2.73
6 Ir 0.0000 0.0000 0.0000  4 Ir 2.73, 8 Os 2.73

* magnetic moment: 0.0 μB/f.u.

=====

Winner for stability: model y

=====

Model w:
Crystalline IrOs4 at its relaxed geometry. Source: Alexandria via LeMat-Bulk, functional PBE.

Lattice parameters (Å, degrees): 4.7248 4.7248 4.7248 99.62 99.62 131.74
Closest atoms and distances in Å follow each position.
Atoms (fractional coordinates):
1 Os 0.4040 0.1981 0.6021  9 Os 2.68-2.77, 3 Ir 2.73-2.74
2 Os 0.8019 0.4040 0.2060  9 Os 2.68-2.77, 3 Ir 2.73-2.74
3 Os 0.1981 0.5960 0.7940  9 Os 2.68-2.77, 3 Ir 2.73-2.74
4 Os 0.5960 0.8019 0.3979  9 Os 2.68-2.77, 3 Ir 2.73-2.74
5 Ir 0.0000 0.0000 0.0000  12 Os 2.73-2.74

* magnetic moment: 0.0 μB/f.u.

=====

Model x:
Crystalline IrOs4 at its relaxed geometry. Source: Alexandria via LeMat-Bulk, functional PBE.

Lattice parameters (Å, degrees): 6.4405 6.4405 6.4405 146.38 146.38 48.28
Closest atoms and distances in Å follow each position.
Atoms (fractional coordinates):
1 Os 0.6017 0.6017 0.0000  5 Os 2.39-2.55
2 Os 0.2500 0.7500 0.5000  8 Os 2.55-2.63
3 Os 0.7500 0.2500 0.5000  8 Os 2.55-2.63
4 Os 0.3983 0.3983 0.0000  5 Os 2.39-2.55
5 Ir 0.0000 0.0000 0.0000  8 Os 2.89

* magnetic moment: 0.0 μB/f.u.

=====

Model y:
Crystalline IrOs4 at its relaxed geometry. Source: Alexandria via LeMat-Bulk, functional PBE.

Lattice parameters (Å, degrees): 4.6272 4.6272 4.6272 90.00 90.00 90.00
Closest atoms and distances in Å follow each position.
Atoms (fractional coordinates):
1 Os 0.0000 0.0000 0.0000  12 Os 3.27
2 Os 0.5000 0.5000 0.0000  2 Ir 2.31
3 Os 0.5000 0.0000 0.5000  2 Ir 2.31
4 Os 0.0000 0.5000 0.5000  2 Ir 2.31
5 Ir 0.5000 0.5000 0.5000  6 Os 2.31

* magnetic moment: 1.5 μB/f.u.

=====

Model z:
Crystalline IrOs4 at its relaxed geometry. Source: Alexandria via LeMat-Bulk, functional PBE.

Lattice parameters (Å, degrees): 4.9289 4.9289 4.9289 109.47 109.47 109.47
Closest atoms and distances in Å follow each position.
Atoms (fractional coordinates):
1 Os 0.5000 0.5000 0.5000  2 Ir 2.46
2 Os 0.0000 0.0000 0.5000  2 Ir 2.46
3 Os 0.0000 0.5000 0.0000  2 Ir 2.46
4 Os 0.5000 0.0000 0.0000  2 Ir 2.46
5 Ir 0.0000 0.0000 0.0000  8 Os 2.46

* magnetic moment: 0.0 μB/f.u.

=====

Winner for stability: model w

=====

Model w:
Crystalline Ir3Os2 at its relaxed geometry. Source: Alexandria via LeMat-Bulk, functional PBE.

Lattice parameters (Å, degrees): 7.5099 7.5099 7.5099 28.68 28.68 28.68
Closest atoms and distances in Å follow each position.
Atoms (fractional coordinates):
1 Os 0.5973 0.5973 0.5973  6 Ir 2.45-2.62
2 Os 0.4027 0.4027 0.4027  6 Ir 2.45-2.62
3 Ir 0.0000 0.0000 0.0000  6 Os 2.62
4 Ir 0.7905 0.7905 0.7905  3 Os 2.45
5 Ir 0.2095 0.2095 0.2095  3 Os 2.45

* magnetic moment: 0.0 μB/f.u.

=====

Model x:
Crystalline Ir3Os2 at its relaxed geometry. Source: Alexandria via LeMat-Bulk, functional PBE.

Lattice parameters (Å, degrees): 8.1896 7.1944 5.1498 81.30 60.27 38.43
Closest atoms and distances in Å follow each position.
Atoms (fractional coordinates):
1 Ir 0.9209 0.0791 0.0791  6 Os 2.58-2.79, 4 Ir 2.69-2.80
2 Ir 0.3381 0.4613 0.7235  6 Os 2.66-2.89, 5 Ir 2.66-2.80
3 Ir 0.5265 0.7729 0.9119  6 Os 2.66-2.89, 5 Ir 2.66-2.80
4 Ir 0.4771 0.7235 0.4613  6 Os 2.66-2.89, 5 Ir 2.66-2.80
5 Ir 0.7887 0.9119 0.7729  6 Os 2.66-2.89, 5 Ir 2.66-2.80
6 Ir 0.1709 0.3291 0.3291  6 Os 2.58-2.79, 4 Ir 2.69-2.80
7 Os 0.9070 0.1837 0.5524  9 Ir 2.58-2.89, 2 Os 2.69
8 Os 0.3569 0.5524 0.1837  9 Ir 2.58-2.89, 2 Os 2.69
9 Os 0.6976 0.8931 0.3430  9 Ir 2.58-2.89, 2 Os 2.69
10 Os 0.0663 0.3430 0.8931  9 Ir 2.58-2.89, 2 Os 2.69

* magnetic moment: 0.0 μB/f.u.

=====

Model y:
Crystalline Ir3Os2 at its relaxed geometry. Source: Alexandria via LeMat-Bulk, functional PBE.

Lattice parameters (Å, degrees): 9.2734 4.9570 4.9570 129.95 101.03 101.03
Closest atoms and distances in Å follow each position.
Atoms (fractional coordinates):
1 Ir 0.0443 0.3593 0.2294  4 Ir 2.51-2.70, 5 Os 2.58-2.80
2 Ir 0.4557 0.7706 0.6407  4 Ir 2.51-2.70, 5 Os 2.58-2.80
3 Ir 0.5000 0.5000 0.0000  2 Os 2.60, 6 Ir 2.70-2.85
4 Ir 0.5443 0.2294 0.3593  4 Ir 2.51-2.70, 5 Os 2.58-2.80
5 Ir 0.9557 0.6407 0.7706  4 Ir 2.51-2.70, 5 Os 2.58-2.80
6 Ir 0.0000 0.0000 0.5000  2 Os 2.60, 6 Ir 2.70-2.85
7 Os 0.7500 0.2189 0.7811  4 Ir 2.58-2.80, 3 Os 2.64-2.80
8 Os 0.7500 0.9251 0.0749  8 Ir 2.60-2.74, 3 Os 2.64-2.80
9 Os 0.2500 0.7811 0.2189  4 Ir 2.58-2.80, 3 Os 2.64-2.80
10 Os 0.2500 0.0749 0.9251  8 Ir 2.60-2.74, 3 Os 2.64-2.80

* magnetic moment: 0.0 μB/f.u.

=====

Winner for stability: model x